Entry 1:
# SCAN Rb3ClO, single point on PBEsol structure
# - energy relative to the elements, uncorrected (meV per atom) = -828.9
data_Rb3ClO
_chemical_formula_sum 'Rb3 Cl1 O1'
_cell_length_a 5.9238
_cell_length_b 5.9238
_cell_length_c 5.9238
_cell_angle_alpha 90.00
_cell_angle_beta 90.00
_cell_angle_gamma 90.00
_space_group_name_H-M_alt 'P m -3 m'
_space_group_IT_number 221
_space_group_name_Hall '-P 4 2 3'
loop_
_atom_site_label
_atom_site_fract_x
_atom_site_fract_y
_atom_site_fract_z
Rb1 0.0000 0.0000 0.5000
Cl1 0.0000 0.0000 0.0000
O1 0.5000 0.5000 0.5000

Entry 2:
# SCAN Rb3ClO, single point on PBEsol structure
# - energy relative to the elements, uncorrected (meV per atom) = -1506.1
data_Rb3ClO
_chemical_formula_sum 'Rb12 Cl4 O4'
_cell_length_a 7.7197
_cell_length_b 10.6193
_cell_length_c 7.4573
_cell_angle_alpha 90.00
_cell_angle_beta 90.00
_cell_angle_gamma 90.00
_space_group_name_H-M_alt 'P n m a'
_space_group_IT_number 62
loop_
_space_group_symop_operation_xyz
'x,y,z'
'-x,-y,-z'
'-x+1/2,-y,z+1/2'
'x+1/2,y,-z+1/2'
'x+1/2,-y+1/2,-z+1/2'
'-x+1/2,y+1/2,z+1/2'
'-x,y+1/2,-z'
'x,-y+1/2,z'
loop_
_atom_site_label
_atom_site_fract_x
_atom_site_fract_y
_atom_site_fract_z
Rb1 0.0294 0.2500 0.0889
Rb2 0.2053 0.0468 0.7046
Cl1 0.0595 0.7500 0.4822
O1 0.0000 0.0000 0.0000

Entry 3:
# SCAN Rb3ClO, single point on PBEsol structure
# - energy relative to the elements, uncorrected (meV per atom) = -1476.4
data_Rb3ClO
_chemical_formula_sum 'Rb18 Cl6 O6'
_cell_length_a 7.4970
_cell_length_b 7.4970
_cell_length_c 19.7805
_cell_angle_alpha 90.00
_cell_angle_beta 90.00
_cell_angle_gamma 120.00
_space_group_name_H-M_alt 'P 63/m m c'
_space_group_IT_number 194
_space_group_name_Hall '-P 6c 2c'
loop_
_atom_site_label
_atom_site_fract_x
_atom_site_fract_y
_atom_site_fract_z
Rb1 0.0258 0.5129 0.2500
Rb2 0.1694 0.3389 0.0781
Cl1 0.0000 0.0000 0.2500
Cl2 0.3333 0.6667 0.5619
O1 0.0000 0.0000 0.0000
O2 0.3333 0.6667 0.1638

Entry 4:
# SCAN Rb3ClO, single point on PBEsol structure
# - energy relative to the elements, uncorrected (meV per atom) = -1477.0
data_Rb3ClO
_chemical_formula_sum 'Rb3 Cl1 O1'
_cell_length_a 5.4079
_cell_length_b 5.4079
_cell_length_c 5.4079
_cell_angle_alpha 90.00
_cell_angle_beta 90.00
_cell_angle_gamma 90.00
_space_group_name_H-M_alt 'P m -3 m'
_space_group_IT_number 221
_space_group_name_Hall '-P 4 2 3'
loop_
_atom_site_label
_atom_site_fract_x
_atom_site_fract_y
_atom_site_fract_z
Rb1 0.0000 0.0000 0.5000
Cl1 0.5000 0.5000 0.5000
O1 0.0000 0.0000 0.0000